Record 1
LiGa4Pt2 PBE-GGA optimized geometry; energy above the most stable polymorph in this dataset = 0.0753 eV per atom; energy of formation from the pure elements = -0.49 eV/atom; total energy = -59.04 eV per cell
1.0
-0.715 3.755 0.218
-4.847 -1.300 6.502
6.450 0.939 4.997
Li Ga Pt
2 8 4
direct
0.500 0.000 0.000
0.000 0.500 0.500
0.000 0.049 0.297
0.000 0.951 0.703
0.500 0.203 0.549
0.500 0.797 0.451
0.500 0.451 0.797
0.500 0.549 0.203
0.000 0.297 0.049
0.000 0.703 0.951
0.000 0.250 0.750
0.000 0.750 0.250
0.500 0.750 0.750
0.500 0.250 0.250

Record 2
Ho6TlTe3Ir2 PBE-GGA optimized geometry; formation energy (no corrections) = -0.9536 eV per atom; total energy = -68.42 eV per cell
1.0
4.119 0.000 0.000
0.000 8.885 -0.140
-2.059 -3.038 9.077
Ho Tl Te Ir
6 1 3 2
direct
0.329 0.889 0.657
0.683 0.550 0.366
0.671 0.111 0.343
0.010 0.260 0.020
0.990 0.740 0.980
0.317 0.450 0.634
0.500 0.000 0.000
0.500 0.500 0.000
0.837 0.173 0.675
0.163 0.827 0.325
0.837 0.681 0.675
0.163 0.319 0.325

Record 3
SbIF3 PBE-GGA optimized geometry; energy above the most stable polymorph in this dataset = 0.4186 eV per atom; formation energy (no corrections) = -1.4381 eV per atom; total energy = -18.48 eV per cell
1.0
-0.417 -4.097 -1.996
2.084 1.611 -3.743
4.053 -1.250 1.719
I Sb F
1 1 3
direct
0.500 0.500 0.500
0.000 0.000 0.000
0.000 0.500 0.000
0.000 0.000 0.500
0.500 0.000 0.000

Record 4
NaGdZnAg PBE-GGA optimized geometry; energy of formation from the pure elements = -0.08 eV/atom; total energy = -19.85 eV per cell
1.0
5.063 0.000 0.000
2.531 4.385 0.000
2.531 1.462 4.134
Na Zn Gd Ag
1 1 1 1
direct
0.750 0.750 0.750
0.000 0.000 0.000
0.250 0.250 0.250
0.500 0.500 0.500

Record 5
CuTe2HW PBE-GGA optimized geometry; total energy = -23.12 eV per cell
1.0
-3.741 1.978 -3.035
-2.268 -1.345 1.920
-0.088 4.312 2.918
H Te Cu W
1 2 1 1
direct
0.000 0.500 0.000
0.000 0.000 0.500
0.500 0.000 0.000
0.000 0.000 0.000
0.500 0.500 0.500

Record 6
Mg3GeB PBE-GGA optimized geometry; energy above the most stable polymorph in this dataset = 0.7199 eV per atom; energy of formation from the pure elements = 0.94 eV/atom; total energy = -11.35 eV per cell
1.0
4.961 0.000 0.000
0.000 4.961 0.000
0.000 0.000 4.961
Ge B Mg
1 1 3
direct
0.000 0.000 0.000
0.500 0.500 0.500
0.000 0.500 0.000
0.000 0.000 0.500
0.500 0.000 0.000

Record 7
CePm4Ho PBE-GGA optimized geometry; energy above the most stable polymorph in this dataset = 0.1993 eV per atom; energy of formation from the pure elements = 0.26 eV/atom; total energy = -55.91 eV per cell
1.0
-0.989 -2.381 -6.190
-7.561 -7.908 4.250
0.433 8.462 0.308
Ce Pm Ho
2 8 2
direct
0.500 0.500 0.000
0.500 0.000 0.000
0.834 0.838 0.668
0.172 0.671 0.842
0.671 0.671 0.842
0.834 0.330 0.668
0.166 0.670 0.332
0.828 0.329 0.158
0.329 0.329 0.158
0.166 0.162 0.332
0.500 0.000 0.500
0.000 0.000 0.500

Record 8
ReP2CO PBE-GGA optimized geometry; energy above the most stable polymorph in this dataset = 0.0059 eV per atom; formation energy (no corrections) = 1.1723 eV per atom; total energy = -31.59 eV per cell
1.0
3.796 0.000 0.000
0.000 3.796 0.000
0.000 0.000 3.833
Re C O P
1 1 1 2
direct
0.500 0.500 0.500
0.000 0.000 0.000
0.000 0.000 0.500
0.000 0.500 0.000
0.500 0.000 0.000

Record 9
As3P PBE-GGA optimized geometry; energy above the most stable polymorph in this dataset = 0.6247 eV per atom; energy of formation from the pure elements = 0.68 eV/atom; total energy = -16.63 eV per cell
1.0
-3.600 -1.193 1.779
1.945 -0.366 3.692
-0.896 3.999 0.869
As P
3 1
direct
0.000 0.500 0.500
0.500 0.000 0.500
0.500 0.500 0.000
0.000 0.000 0.000

Record 10
LiInPt2 PBE-GGA optimized geometry; energy of formation from the pure elements = -0.53 eV/atom; total energy = -18.85 eV per cell
1.0
4.967 -0.006 -0.009
1.801 4.629 0.009
-3.378 -2.320 2.807
Li Pt In
1 2 1
direct
0.250 0.750 0.500
0.000 0.000 0.000
0.750 0.250 0.500
0.500 0.500 0.000

Record 11
CuRhSe2 PBE-GGA optimized geometry; formation energy (no corrections) = -0.1154 eV per atom; total energy = -37.76 eV per cell
1.0
5.577 0.000 0.000
0.000 5.577 0.000
2.789 2.789 5.512
Rh Cu Se
2 2 4
direct
0.000 0.000 0.000
0.750 0.250 0.500
0.500 0.500 0.000
0.250 0.750 0.500
0.625 0.125 0.250
0.125 0.625 0.250
0.375 0.375 0.750
0.875 0.875 0.750

Record 12
Cr2CuOs2 PBE-GGA optimized geometry; energy above the most stable polymorph in this dataset = 0.0000 eV per atom; energy of formation from the pure elements = 0.31 eV/atom; total energy = -88.50 eV per cell
1.0
7.199 0.000 0.000
0.000 7.199 0.000
0.000 0.000 2.699
Cr Os Cu
4 4 2
direct
0.159 0.659 0.500
0.659 0.841 0.500
0.841 0.341 0.500
0.341 0.159 0.500
0.363 0.863 0.000
0.863 0.637 0.000
0.637 0.137 0.000
0.137 0.363 0.000
0.000 0.000 0.000
0.500 0.500 0.000